Record 1
# MgSF2

MgSF2 after structural relaxation (PBE-GGA, the Alexandria database).

Cell and atoms, written as CIF:
```
data_MgSF2
_space_group_name_H-M_alt 'P 1'
_space_group_IT_number 1
_cell_length_a 9.542
_cell_length_b 9.542
_cell_length_c 9.542
_cell_angle_alpha 17.68
_cell_angle_beta 17.68
_cell_angle_gamma 17.68
loop_
_space_group_symop_operation_xyz
'x,y,z'
loop_
_atom_site_label
_atom_site_type_symbol
_atom_site_fract_x
_atom_site_fract_y
_atom_site_fract_z
_atom_site_occupancy
Mg1 Mg 0.000 0.000 0.000 1
S1 S 0.500 0.500 0.500 1
F1 F 0.369 0.369 0.369 1
F2 F 0.631 0.631 0.631 1
```

Results
relative energy among the computed polymorphs: 0.0000 eV/atom
formation energy from raw total energies: -208.1 kJ per mole of atoms
crystal system: trigonal
ρ: 2.2 g/cm³
space-group type: R-3m, No. 166


Record 2
# MgS2F

MgS2F after structural relaxation (PBE-GGA, the Alexandria database).

Cell and atoms, written as CIF:
```
data_MgS2F
_space_group_name_H-M_alt 'P 1'
_space_group_IT_number 1
_cell_length_a 8.801
_cell_length_b 8.801
_cell_length_c 8.801
_cell_angle_alpha 19.01
_cell_angle_beta 19.01
_cell_angle_gamma 19.01
loop_
_space_group_symop_operation_xyz
'x,y,z'
loop_
_atom_site_label
_atom_site_type_symbol
_atom_site_fract_x
_atom_site_fract_y
_atom_site_fract_z
_atom_site_occupancy
Mg1 Mg 0.000 0.000 0.000 1
S1 S 0.092 0.092 0.092 1
S2 S 0.908 0.908 0.908 1
F1 F 0.500 0.500 0.500 1
```

Results
relative energy among the computed polymorphs: 1.2108 eV/atom
formation energy from raw total energies: 29.9 kJ per mole of atoms
crystal system: trigonal
ρ: 2.8 g/cm³
space-group type: R-3m, No. 166


Record 3
# MgS3F

MgS3F after structural relaxation (PBE-GGA, the Alexandria database).

Cell and atoms, written as CIF:
```
data_MgS3F
_space_group_name_H-M_alt 'P 1'
_space_group_IT_number 1
_cell_length_a 4.676
_cell_length_b 4.676
_cell_length_c 4.676
_cell_angle_alpha 90.00
_cell_angle_beta 90.00
_cell_angle_gamma 90.00
loop_
_space_group_symop_operation_xyz
'x,y,z'
loop_
_atom_site_label
_atom_site_type_symbol
_atom_site_fract_x
_atom_site_fract_y
_atom_site_fract_z
_atom_site_occupancy
Mg1 Mg 0.000 0.000 0.000 1
S1 S 0.000 0.000 0.500 1
S2 S 0.000 0.500 0.000 1
S3 S 0.500 0.000 0.000 1
F1 F 0.500 0.500 0.500 1
```

Results
relative energy among the computed polymorphs: 0.0885 eV/atom
formation energy from raw total energies: 39.9 kJ per mole of atoms
crystal system: cubic
ρ: 2.3 g/cm³
space-group type: Pm-3m, No. 221


Record 4
# MgS3F

MgS3F after structural relaxation (PBE-GGA, the Alexandria database).

Cell and atoms, written as CIF:
```
data_MgS3F
_space_group_name_H-M_alt 'P 1'
_space_group_IT_number 1
_cell_length_a 4.405
_cell_length_b 4.405
_cell_length_c 4.405
_cell_angle_alpha 90.00
_cell_angle_beta 90.00
_cell_angle_gamma 90.00
loop_
_space_group_symop_operation_xyz
'x,y,z'
loop_
_atom_site_label
_atom_site_type_symbol
_atom_site_fract_x
_atom_site_fract_y
_atom_site_fract_z
_atom_site_occupancy
Mg1 Mg 0.000 0.000 0.000 1
S1 S 0.000 0.500 0.500 1
S2 S 0.500 0.000 0.500 1
S3 S 0.500 0.500 0.000 1
F1 F 0.500 0.500 0.500 1
```

Results
relative energy among the computed polymorphs: 0.0000 eV/atom
formation energy from raw total energies: 31.4 kJ per mole of atoms
crystal system: cubic
ρ: 2.7 g/cm³
space-group type: Pm-3m, No. 221


Record 5
# MgSF2

MgSF2 after structural relaxation (PBE-GGA, the Alexandria database).

Cell and atoms, written as CIF:
```
data_MgSF2
_space_group_name_H-M_alt 'P 1'
_space_group_IT_number 1
_cell_length_a 8.656
_cell_length_b 8.656
_cell_length_c 8.656
_cell_angle_alpha 21.33
_cell_angle_beta 21.33
_cell_angle_gamma 21.33
loop_
_space_group_symop_operation_xyz
'x,y,z'
loop_
_atom_site_label
_atom_site_type_symbol
_atom_site_fract_x
_atom_site_fract_y
_atom_site_fract_z
_atom_site_occupancy
Mg1 Mg 0.000 0.000 0.000 1
S1 S 0.500 0.500 0.500 1
F1 F 0.070 0.070 0.070 1
F2 F 0.930 0.930 0.930 1
```

Results
relative energy among the computed polymorphs: 1.2407 eV/atom
formation energy from raw total energies: -88.4 kJ per mole of atoms
crystal system: trigonal
ρ: 2.1 g/cm³
space-group type: R-3m, No. 166


Record 6
# MgS2F

MgS2F after structural relaxation (PBE-GGA, the Alexandria database).

Cell and atoms, written as CIF:
```
data_MgS2F
_space_group_name_H-M_alt 'P 1'
_space_group_IT_number 1
_cell_length_a 10.240
_cell_length_b 10.240
_cell_length_c 10.240
_cell_angle_alpha 159.15
_cell_angle_beta 159.15
_cell_angle_gamma 29.65
loop_
_space_group_symop_operation_xyz
'x,y,z'
loop_
_atom_site_label
_atom_site_type_symbol
_atom_site_fract_x
_atom_site_fract_y
_atom_site_fract_z
_atom_site_occupancy
Mg1 Mg 0.000 0.000 0.000 1
Mg2 Mg 0.750 0.250 0.500 1
S1 S 0.024 0.625 0.899 1
S2 S 0.375 0.274 0.399 1
S3 S 0.726 0.125 0.101 1
S4 S 0.875 0.976 0.601 1
F1 F 0.250 0.750 0.500 1
F2 F 0.500 0.500 0.000 1
```

Results
relative energy among the computed polymorphs: 0.0000 eV/atom
formation energy from raw total energies: -87.0 kJ per mole of atoms
crystal system: tetragonal
ρ: 2.6 g/cm³
space-group type: I-42d, No. 122